CaAc2S4 | GGA-PBE | relaxed

Cell: 7.731 7.534 8.176 Å, 90.00 105.76 90.00°
Element x y z (fractional)
1 Ca 0.190 0.750 0.176
2 Ca 0.810 0.250 0.824
3 Ac 0.668 0.750 0.041
4 Ac 0.332 0.250 0.959
5 Ac 0.301 0.250 0.454
6 Ac 0.699 0.750 0.546
7 S 0.477 0.510 0.249
8 S 0.956 0.750 0.873
9 S 0.044 0.250 0.127
10 S 0.477 0.990 0.249
11 S 0.046 0.250 0.646
12 S 0.523 0.010 0.751
13 S 0.523 0.490 0.751
14 S 0.954 0.750 0.354

Output
Final energy   -5.75 eV per atom
Total moment   0.000 μB/atom
Excess energy over the best structure of this formula in the dataset   175 meV/atom
Space-group type   P2_1/m
ΔE_f (raw)   -186 kJ/mol of atoms